5
Lattice="5.894 0.000 0.000 0.000 5.894 0.000 0.000 0.000 5.894" Properties=species:S:1:pos:R:3 comment="PBE-GGA Ba3FeOs, relaxed" e_above_lowest_polymorph_ev_per_atom=0.000 delta_e_f_ev_per_atom=1.222 spacegroup="Pm-3m, No. 221" vol_a3_per_atom=40.94 pbc="T T T"
Ba 0.000 0.000 2.947
Ba 2.947 0.000 0.000
Os 0.000 0.000 0.000
Ba 0.000 2.947 0.000
Fe 2.947 2.947 2.947